Below is a crystal of Ba3Sn5 relaxed with PBEsol, with properties calculated at the meta-GGA SCAN level.

extended XYZ file:
```
16
Lattice="-3.225 0.782 -6.215 2.417 -6.601 -0.472 -9.426 -3.767 4.418" Properties=species:S:1:pos:R:3 pbc="T T T"
Ba -6.280 -3.271 -2.318
Ba -7.189 -3.685 2.326
Ba -1.567 -1.388 -4.527
Ba -3.954 -6.315 0.050
Ba -3.045 -5.901 -4.594
Ba 0.759 -4.432 -2.159
Sn -3.622 -0.746 -1.429
Sn -2.722 -3.577 -1.923
Sn -5.933 -6.800 -2.912
Sn -1.434 -3.609 0.798
Sn -0.726 -1.358 -1.032
Sn -4.301 -2.787 0.644
Sn -7.511 -6.010 -0.345
Sn -6.612 -8.840 -0.840
Sn -8.800 -5.978 -3.067
Sn -9.508 -8.229 -1.236
```

Results
**Fermi-level density of states**: 3.80 states/eV/f.u.
**Calculated formation energy**: -0.713 eV/atom

=====

Below is a crystal of MnCu2Ag relaxed with PBEsol, with properties calculated at the meta-GGA SCAN level.

extended XYZ file:
```
4
Lattice="2.743 0.000 0.000 0.000 4.483 -0.028 -1.371 -0.953 4.315" Properties=species:S:1:pos:R:3 pbc="T T T"
Cu 1.371 3.513 4.228
Cu 0.000 2.868 2.171
Mn 1.371 2.305 0.039
Ag 1.371 0.615 2.122
```

Results
**Fermi-level density of states**: 1.58 states/eV/f.u.
**Calculated formation energy**: 0.039 eV/atom

=====

Below is a crystal of ScRe2Ni relaxed with PBEsol, with properties calculated at the meta-GGA SCAN level.

extended XYZ file:
```
4
Lattice="2.732 0.000 -0.005 0.000 4.591 0.000 -0.490 0.000 4.711" Properties=species:S:1:pos:R:3 pbc="T T T"
Re 0.410 0.000 1.185
Re 1.832 0.000 3.522
Ni -0.245 2.296 2.356
Sc 1.366 2.296 -0.002
```

Results
**Fermi-level density of states**: 4.10 states/eV/f.u.
**Calculated formation energy**: 0.059 eV/atom

=====

Below is a crystal of Sb2MoO6 relaxed with PBEsol, with properties calculated at the meta-GGA SCAN level.

extended XYZ file:
```
36
Lattice="-2.468 -6.716 -2.117 3.827 -3.951 5.111 -6.314 -3.772 7.026" Properties=species:S:1:pos:R:3 pbc="T T T"
Sb 0.581 -7.497 6.308
Sb -3.930 -3.504 5.128
Sb -5.535 -6.942 3.711
Sb -1.676 -5.687 3.335
Sb -1.025 -10.935 4.892
Sb -3.278 -8.752 6.684
Sb -2.704 -8.889 2.646
Sb -2.250 -5.550 7.374
Mo -6.043 -6.456 7.490
Mo 2.192 -4.384 3.213
Mo 1.089 -7.983 2.529
Mo -7.147 -10.055 6.807
O -1.752 -5.488 1.252
O -1.395 -2.586 1.328
O -1.802 -7.758 -0.323
O -3.560 -11.852 8.691
O -1.764 -7.435 6.783
O 1.398 -4.252 4.880
O -6.295 -8.031 6.736
O -3.153 -6.680 10.342
O -3.203 -8.951 8.767
O -5.765 -10.641 7.719
O -4.174 -6.499 7.296
O 0.005 -5.622 6.980
O -2.409 -9.460 4.551
O 1.341 -6.407 3.283
O -6.411 -5.316 6.194
O -0.780 -7.939 2.723
O 1.457 -9.123 3.826
O -4.959 -8.817 3.040
O 0.811 -3.798 2.300
O -6.352 -10.186 5.139
O -2.546 -4.978 5.468
O -1.924 -10.281 6.919
O -3.190 -7.003 3.236
O -3.030 -4.158 3.100
```

=====

| no. | ρ (g cm⁻³) | total DFT energy (no corrections) (eV for the cell shown) |
| --- | --- | --- |
| 1 | 6.21 | -607.93 |
| 2 | 9.09 | -79.86 |
| 3 | 13.38 | -172.37 |
| 4 | 5.77 | -649.20 |